DFT (PBE-GGA) results for a relaxed structure of Li2Nd2HgPd5.

- Magnetic moment: 0.00 μB per formula unit
- Formation energy from the elements: -5.78 eV per formula unit

Unit cell a=9.585 b=9.585 c=3.912 alpha=90.00 beta=90.00 gamma=90.00
Fractional positions:
1 Li 0.116 0.384 0.000
2 Li 0.384 0.884 0.000
3 Li 0.616 0.116 0.000
4 Li 0.884 0.616 0.000
5 Nd 0.182 0.682 0.000
6 Nd 0.318 0.182 0.000
7 Nd 0.682 0.818 0.000
8 Nd 0.818 0.318 0.000
9 Hg 0.000 0.000 0.000
10 Hg 0.500 0.500 0.000
11 Pd 0.000 0.500 0.500
12 Pd 0.068 0.212 0.500
13 Pd 0.212 0.932 0.500
14 Pd 0.288 0.432 0.500
15 Pd 0.432 0.712 0.500
16 Pd 0.500 0.000 0.500
17 Pd 0.568 0.288 0.500
18 Pd 0.712 0.568 0.500
19 Pd 0.788 0.068 0.500
20 Pd 0.932 0.788 0.500

DFT (PBE-GGA) results for a relaxed structure of Li2PmNdHg4.

- Magnetic moment: 0.00 μB per formula unit
- Formation energy from the elements: -3.63 eV per formula unit

Unit cell a=8.925 b=8.925 c=8.925 alpha=33.33 beta=33.33 gamma=33.33
Fractional positions:
1 Li 0.250 0.250 0.250
2 Li 0.750 0.750 0.750
3 Pm 0.000 0.000 0.000
4 Nd 0.500 0.500 0.500
5 Hg 0.124 0.124 0.124
6 Hg 0.375 0.375 0.375
7 Hg 0.625 0.625 0.625
8 Hg 0.876 0.876 0.876

DFT (PBE-GGA) results for a relaxed structure of LiNdPuHg.

- Magnetic moment: 6.61 μB per formula unit
- Formation energy from the elements: 0.05 eV per formula unit

Unit cell a=7.550 b=7.550 c=7.550 alpha=90.00 beta=90.00 gamma=90.00
Fractional positions:
1 Li 0.000 0.000 0.000
2 Li 0.000 0.500 0.500
3 Li 0.500 0.000 0.500
4 Li 0.500 0.500 0.000
5 Nd 0.250 0.250 0.750
6 Nd 0.250 0.750 0.250
7 Nd 0.750 0.250 0.250
8 Nd 0.750 0.750 0.750
9 Pu 0.250 0.250 0.250
10 Pu 0.250 0.750 0.750
11 Pu 0.750 0.250 0.750
12 Pu 0.750 0.750 0.250
13 Hg 0.000 0.000 0.500
14 Hg 0.000 0.500 0.000
15 Hg 0.500 0.000 0.000
16 Hg 0.500 0.500 0.500

DFT (PBE-GGA) results for a relaxed structure of LiNdHgRh.

- Magnetic moment: 0.00 μB per formula unit
- Formation energy from the elements: -1.51 eV per formula unit

Unit cell a=6.856 b=6.856 c=6.856 alpha=90.00 beta=90.00 gamma=90.00
Fractional positions:
1 Li 0.000 0.000 0.000
2 Li 0.000 0.500 0.500
3 Li 0.500 0.000 0.500
4 Li 0.500 0.500 0.000
5 Nd 0.250 0.250 0.750
6 Nd 0.250 0.750 0.250
7 Nd 0.750 0.250 0.250
8 Nd 0.750 0.750 0.750
9 Hg 0.250 0.250 0.250
10 Hg 0.250 0.750 0.750
11 Hg 0.750 0.250 0.750
12 Hg 0.750 0.750 0.250
13 Rh 0.000 0.000 0.500
14 Rh 0.000 0.500 0.000
15 Rh 0.500 0.000 0.000
16 Rh 0.500 0.500 0.500

no.,uncorrected energy (eV per formula unit),DOS(E_F) (states/eV/f.u.)
1,-45.41,4.4
2,-18.19,5.8
3,-21.27,12.6
4,-15.85,2.3